# Er2TmIn5, relaxed, DFT PBE-GGA
# formation enthalpy at 0 K = -0.386 eV/atom
# E = -3.7973 eV/atom
# V = 25.525 A^3/atom
# density of states at the Fermi level = 11.7 states/eV per cell
data_Er2TmIn5
_space_group_name_H-M_alt 'I 4 m m'
_space_group_IT_number 107
_space_group_name_Hall 'I 4 -2'
_cell_length_a 7.027
_cell_length_b 7.027
_cell_length_c 8.270
_cell_angle_alpha 90.00
_cell_angle_beta 90.00
_cell_angle_gamma 90.00
loop_
_atom_site_label
_atom_site_type_symbol
_atom_site_fract_x
_atom_site_fract_y
_atom_site_fract_z
Er1 Er 0.000 0.500 0.000
Tm1 Tm 0.000 0.000 0.078
In1 In 0.000 0.000 0.469
In2 In 0.219 0.219 0.758